The following is a PBE-GGA calculation of a geometry-optimized Nd4Dy3Th2 structure, from Alexandria.

Summary:
As for the crystal system: trigonal. The value obtained for the energy relative to the lowest polymorph listed for this composition is 0.000 eV/atom. The total energy comes out at -5.2209 eV/atom.

Lattice parameters (Å, degrees): 3.5915 3.5915 27.1146 90.00 90.00 120.00
Element x y z (fractional)
Nd1 0.0000 0.0000 0.5460
Nd2 0.6667 0.3333 0.4313
Nd3 0.6667 0.3333 0.2159
Nd4 0.0000 0.0000 0.7635
Dy1 0.0000 0.0000 0.9818
Dy2 0.0000 0.0000 0.3225
Dy3 0.6667 0.3333 0.6536
Th1 0.6667 0.3333 0.0886
Th2 0.6667 0.3333 0.8739